[1]
Crystalline Mn2CuSe at its relaxed geometry, computed with PBE-GGA.

Results
Calculated volume ... 65.6 Å³ per cell
Raw total energy ... -6.280 eV per atom
Raw formation energy ... 0.200 eV/atom

Geometry as extended XYZ:
```
4
Lattice="1.692 0.977 6.615 -1.692 0.977 6.615 0.000 -1.954 6.615" Properties=species:S:1:pos:R:3 pbc="T T T"
Mn 0.000 0.000 4.905
Mn 0.000 0.000 14.939
Cu 0.000 0.000 9.922
Se 0.000 0.000 0.000
```

[2]
Crystalline MnCuSe at its relaxed geometry, computed with PBE-GGA.

Results
Calculated volume ... 46.3 Å³ per cell
Raw total energy ... -5.458 eV per atom
Raw formation energy ... 0.125 eV/atom
Relative energy among the computed polymorphs ... 50 meV/atom

Geometry as extended XYZ:
```
3
Lattice="0.000 2.405 4.003 2.402 0.000 4.003 2.402 2.405 0.000" Properties=species:S:1:pos:R:3 pbc="T T T"
Mn 0.000 0.000 0.000
Cu 2.402 2.405 5.313
Se 2.402 2.405 2.697
```